[1]
# Cd6Cu7, PBEsol geometry, DFT SCAN
# - E_form: 0.02 eV per atom
data_Cd6Cu7
_cell_length_a 5.0251
_cell_length_b 5.0251
_cell_length_c 26.9328
_cell_angle_alpha 90.00
_cell_angle_beta 90.00
_cell_angle_gamma 120.00
_space_group_name_H-M_alt 'R -3 m'
_space_group_IT_number 166
_space_group_name_Hall '-R 3 2"'
loop_
_atom_site_label
_atom_site_fract_x
_atom_site_fract_y
_atom_site_fract_z
Cd1 0.0000 0.0000 0.0511
Cd2 0.0000 0.0000 0.1547
Cd3 0.0000 0.0000 0.3332
Cu1 0.0000 0.0000 0.5000
Cu2 0.9996 0.4998 0.0912

[2]
# CoAu2, PBEsol geometry, DFT SCAN
# - E_form: 0.08 eV per atom
data_CoAu2
_cell_length_a 2.7904
_cell_length_b 2.7904
_cell_length_c 11.4691
_cell_angle_alpha 90.00
_cell_angle_beta 90.00
_cell_angle_gamma 90.00
_space_group_name_H-M_alt 'I 4/m m m'
_space_group_IT_number 139
_space_group_name_Hall '-I 4 2'
loop_
_atom_site_label
_atom_site_fract_x
_atom_site_fract_y
_atom_site_fract_z
Co1 0.0000 0.0000 0.0000
Au1 0.0000 0.0000 0.3450

[3]
# HfBeRhI2, PBEsol geometry, DFT SCAN
# - Raw formation energy: 725 meV/atom
data_HfBeRhI2
_cell_length_a 5.2584
_cell_length_b 5.2584
_cell_length_c 4.0466
_cell_angle_alpha 90.00
_cell_angle_beta 90.00
_cell_angle_gamma 90.00
_space_group_name_H-M_alt 'P 4/m m m'
_space_group_IT_number 123
_space_group_name_Hall '-P 4 2'
loop_
_atom_site_label
_atom_site_fract_x
_atom_site_fract_y
_atom_site_fract_z
Hf1 0.0000 0.0000 0.0000
Be1 0.5000 0.5000 0.0000
Rh1 0.5000 0.5000 0.5000
I1 0.0000 0.5000 0.5000

Please write out number 1 again, unchanged.
# Cd6Cu7, PBEsol geometry, DFT SCAN
# - E_form: 0.02 eV per atom
data_Cd6Cu7
_cell_length_a 5.0251
_cell_length_b 5.0251
_cell_length_c 26.9328
_cell_angle_alpha 90.00
_cell_angle_beta 90.00
_cell_angle_gamma 120.00
_space_group_name_H-M_alt 'R -3 m'
_space_group_IT_number 166
_space_group_name_Hall '-R 3 2"'
loop_
_atom_site_label
_atom_site_fract_x
_atom_site_fract_y
_atom_site_fract_z
Cd1 0.0000 0.0000 0.0511
Cd2 0.0000 0.0000 0.1547
Cd3 0.0000 0.0000 0.3332
Cu1 0.0000 0.0000 0.5000
Cu2 0.9996 0.4998 0.0912